CaV2Rh2 | PBE | optimized geometry

Unit cell a=7.625 b=7.625 c=2.791 alpha=90.00 beta=90.00 gamma=90.00
Fractional positions:
V: 0.391 0.891 0.000
V: 0.109 0.391 0.000
V: 0.891 0.609 0.000
Rh: 0.819 0.319 0.500
Rh: 0.681 0.819 0.500
Ca: 0.500 0.500 0.000
Ca: 0.000 0.000 0.000
V: 0.609 0.109 0.000
Rh: 0.181 0.681 0.500
Rh: 0.319 0.181 0.500

Values from the calculation:
**Energy of formation from the pure elements**: -0.1806 eV/atom
**Final energy**: -71.69 eV per cell
**SG**: P4/mbm, No. 127
**Energy above the most stable polymorph in this dataset**: 70 meV per atom